# Y2HoAl3AgPt2

An optimized crystal structure of Y2HoAl3AgPt2 (GGA-PBE, OQMD).

Cell: 3.910 12.712 7.361 Å, 90.00 90.00 90.00°
Space group Amm2 (No. 38)
Inequivalent atoms, fractional coordinates:
Y1 0.000 0.207 0.000 (multiplicity 4)
Ho1 0.000 0.000 0.377 (multiplicity 2)
Al1 0.500 0.000 0.050 (multiplicity 2)
Al2 0.500 0.129 0.663 (multiplicity 4)
Ag1 0.000 0.000 0.790 (multiplicity 2)
Pt1 0.500 0.165 0.293 (multiplicity 4)

Properties
VASP energy: -0.421 Ry per atom

***

# SmHo2Al7Ag2

An optimized crystal structure of SmHo2Al7Ag2 (GGA-PBE, OQMD).

Cell: 5.5574 5.5574 26.3846 Å, 90.00 90.00 120.00°
Space group R-3m (No. 166, hexagonal axes)
Inequivalent atoms, fractional coordinates:
Sm1 0.0000 0.0000 0.0000 (multiplicity 3)
Ho1 0.0000 0.0000 0.1422 (multiplicity 6)
Al1 0.0000 0.0000 0.5000 (multiplicity 3)
Al2 0.0081 0.5040 0.9159 (multiplicity 18)
Ag1 0.0000 0.0000 0.3357 (multiplicity 6)

Properties
VASP energy: -0.314 Ry per atom